Record 1
Material: ScIn2Co
Method: DFT, GGA-PBEsol
State: optimized geometry

As for the formation energy from the elements: -0.51 eV/f.u.

Unit cell a=3.0268 b=4.3984 c=6.3498 alpha=110.26 beta=103.79 gamma=90.00
Last column: nearest neighbours and their distance in Å.
Positions (direct):
Co 0.2396 0.2396 0.4791  2 Sc 2.52, 6 In 2.68-2.74
In 0.9382 0.4382 0.8764  2 Co 2.74, 4 In 3.03, 4 Sc 3.04
In 0.7574 0.7574 0.5149  4 Co 2.68
Sc 0.5648 0.0648 0.1295  2 Co 2.52



Record 2
Material: InCo3Se
Method: DFT, GGA-PBEsol
State: optimized geometry

Its energy relative to the elements, uncorrected is 1.645 eV/atom. The calculation puts the distance to the lowest polymorph of the same formula at 5.757 eV/f.u.

Unit cell a=4.6121 b=4.6121 c=4.6121 alpha=90.00 beta=90.00 gamma=90.00
Last column: nearest neighbours and their distance in Å.
Positions (direct):
Co 0.0000 0.5000 0.0000  2 In 2.31
Co 0.0000 0.0000 0.5000  2 In 2.31
Co 0.5000 0.0000 0.0000  2 In 2.31
Se 0.5000 0.5000 0.5000  12 Co 3.26
In 0.0000 0.0000 0.0000  6 Co 2.31



Record 3
Material: InCo3Se
Method: DFT, GGA-PBEsol
State: optimized geometry

Its energy relative to the elements, uncorrected is 0.493 eV/atom. The calculation puts the distance to the lowest polymorph of the same formula at 0.000 eV/f.u.

Unit cell a=4.2575 b=4.2575 c=4.2575 alpha=90.00 beta=90.00 gamma=90.00
Last column: nearest neighbours and their distance in Å.
Positions (direct):
Co 0.0000 0.5000 0.0000  2 Se 2.13
Co 0.0000 0.0000 0.5000  2 Se 2.13
Co 0.5000 0.0000 0.0000  2 Se 2.13
Se 0.0000 0.0000 0.0000  6 Co 2.13
In 0.5000 0.5000 0.5000  12 Co 3.01



Record 4
Material: InCoSe2
Method: DFT, GGA-PBEsol
State: optimized geometry

Its energy relative to the elements, uncorrected is 0.059 eV/atom.

Unit cell a=2.9236 b=2.9236 c=8.7339 alpha=90.00 beta=90.00 gamma=90.00
Last column: nearest neighbours and their distance in Å.
Positions (direct):
Co 0.0000 0.0000 0.4684  4 Se 2.37
In 0.5000 0.5000 0.7000  4 Co 2.89, 4 In 2.92, 1 Se 3.17
Se 0.0000 0.0000 0.9952  4 Se 2.92
Se 0.5000 0.5000 0.3364  4 Co 2.37



Record 5
Material: InCoSe2
Method: DFT, GGA-PBEsol
State: optimized geometry

Its energy relative to the elements, uncorrected is 0.059 eV/atom.

Unit cell a=3.0092 b=3.0092 c=8.1423 alpha=90.00 beta=90.00 gamma=90.18
Last column: nearest neighbours and their distance in Å.
Positions (direct):
Co 0.5000 0.5000 0.5000  8 Se 2.56
In 0.5000 0.5000 0.0000  4 In 3.01
Se 0.0000 0.0000 0.3255  4 Co 2.56, 1 Se 2.84
Se 0.0000 0.0000 0.6745  4 Co 2.56, 1 Se 2.84



Record 6
Material: InCoSe2
Method: DFT, GGA-PBEsol
State: optimized geometry

Its energy relative to the elements, uncorrected is -0.082 eV/atom.

Unit cell a=3.4727 b=4.0079 c=5.8737 alpha=101.30 beta=90.00 gamma=90.00
Last column: nearest neighbours and their distance in Å.
Positions (direct):
Co 0.0000 0.6801 0.5637  3 Se 2.28
In 0.5000 0.2428 0.6839  4 Co 2.66-2.82, 4 Se 2.74-2.95
Se 0.0000 0.9444 0.9441  1 Co 2.28
Se 0.5000 0.6327 0.3083  2 Co 2.28



Record 7
Material: InCoSe3
Method: DFT, GGA-PBEsol
State: optimized geometry

Its energy relative to the elements, uncorrected is 0.129 eV/atom.

Unit cell a=4.6711 b=4.6711 c=4.6711 alpha=90.00 beta=90.00 gamma=90.00
Last column: nearest neighbours and their distance in Å.
Positions (direct):
Co 0.0000 0.0000 0.0000  6 Se 2.34
Se 0.0000 0.5000 0.0000  2 Co 2.34
Se 0.0000 0.0000 0.5000  2 Co 2.34
Se 0.5000 0.0000 0.0000  2 Co 2.34
In 0.5000 0.5000 0.5000  12 Se 3.30



Record 8
Material: In2CoTeSe
Method: DFT, GGA-PBEsol
State: optimized geometry

Its energy relative to the elements, uncorrected is -0.035 eV/atom.

Unit cell a=4.2298 b=5.2204 c=5.2204 alpha=90.00 beta=90.00 gamma=90.00
Last column: nearest neighbours and their distance in Å.
Positions (direct):
Te 0.5000 0.5000 0.5000  8 In 3.36, 4 Se 3.69
Co 0.0000 0.0000 0.0000  2 Se 2.11
Se 0.5000 0.0000 0.0000  2 Co 2.11
In 0.0000 0.0000 0.5000  2 Co 2.61
In 0.0000 0.5000 0.0000  2 Co 2.61



Record 9
Material: In2CoSi
Method: DFT, GGA-PBEsol
State: optimized geometry

Its energy relative to the elements, uncorrected is 0.367 eV/atom.

Unit cell a=3.1495 b=3.1495 c=8.4245 alpha=79.23 beta=79.23 gamma=60.00
Last column: nearest neighbours and their distance in Å.
Positions (direct):
Co 0.0000 0.0000 0.0000  6 In 2.60
In 0.2578 0.2578 0.2267  3 Co 2.60, 3 Si 2.89
In 0.7422 0.7422 0.7733  3 Co 2.60, 3 Si 2.89
Si 0.5000 0.5000 0.5000  6 In 2.89, 6 Si 3.15



Record 10
Material: InCo3Si
Method: DFT, GGA-PBEsol
State: optimized geometry

Its energy relative to the elements, uncorrected is 1.797 eV/atom.

Unit cell a=4.5477 b=4.5477 c=4.5477 alpha=90.00 beta=90.00 gamma=90.00
Last column: nearest neighbours and their distance in Å.
Positions (direct):
Si 0.5000 0.5000 0.5000  12 Co 3.22
Co 0.0000 0.5000 0.0000  2 In 2.27
Co 0.0000 0.0000 0.5000  2 In 2.27
Co 0.5000 0.0000 0.0000  2 In 2.27
In 0.0000 0.0000 0.0000  6 Co 2.27



Record 11
Material: In2CoSi
Method: DFT, GGA-PBEsol
State: optimized geometry

Its energy relative to the elements, uncorrected is 0.417 eV/atom.

Unit cell a=3.2754 b=4.6360 c=5.0832 alpha=103.42 beta=90.00 gamma=110.69
Last column: nearest neighbours and their distance in Å.
Positions (direct):
Co 0.5000 0.0000 0.0000  6 In 2.67-2.80
In 0.7612 0.5224 0.7693  3 Co 2.67-2.80, 3 Si 2.75-2.86, 2 In 2.91
In 0.2388 0.4776 0.2307  3 Co 2.67-2.80, 3 Si 2.75-2.86, 2 In 2.91
Si 0.0000 0.0000 0.5000  6 In 2.75-2.86, 4 Co 3.02



Record 12
Material: InCo2Si
Method: DFT, GGA-PBEsol
State: optimized geometry

Its energy relative to the elements, uncorrected is -0.038 eV/atom.

Unit cell a=2.8093 b=2.8093 c=7.8367 alpha=79.67 beta=79.67 gamma=60.00
Last column: nearest neighbours and their distance in Å.
Positions (direct):
Co 0.2607 0.2607 0.2179  3 Si 2.33
Co 0.7393 0.7393 0.7821  3 Si 2.33
In 0.5000 0.5000 0.5000  6 Co 2.70, 6 In 2.81
Si 0.0000 0.0000 0.0000  6 Co 2.33



| no. | E_tot (eV per atom) |
| --- | --- |
| 1 | -5.204 |
| 2 | -4.364 |
| 3 | -5.516 |
| 4 | -4.546 |
| 5 | -4.546 |
| 6 | -4.687 |
| 7 | -4.325 |
| 8 | -4.251 |
| 9 | -4.495 |
| 10 | -4.591 |
| 11 | -4.445 |
| 12 | -6.089 |